First-principles (PBE) data for an optimized crystal structure of CaPt5, as listed in Alexandria via LeMat-Bulk.

E = -33.84 eV/cell
energy of formation from the pure elements = -0.273 eV per atom

Cell lengths 5.5231, 5.5231, 6.9145 Å; angles 75.53, 75.53, 29.54 degrees
With the nearest neighbours (Å) after each atom.
Positions (direct):
Ca 0.9971 0.9971 0.9970  2 Ca 2.82, 10 Pt 2.83-2.98
Pt 0.6147 0.6147 0.2875  10 Pt 2.81-2.92, 2 Ca 2.98
Pt 0.3358 0.3358 0.3304  10 Pt 2.82-2.92, 2 Ca 2.87
Pt 0.9470 0.9470 0.6006  11 Pt 2.81-3.02, 1 Ca 2.93
Pt 0.6707 0.6707 0.6661  10 Pt 2.82-2.91, 2 Ca 2.91
Pt 0.2679 0.2679 0.9517  9 Pt 2.82-3.02, 3 Ca 2.83-2.91